[1]
VASP calculation (GGA-PBEsol) on a relaxed RbTlBiN2 crystal.

Cell: 4.6062 4.6062 5.8631 Å, 90.00 90.00 90.00°
Last column: nearest neighbours and their distance in Å.
Fractional coordinates of all 5 atoms:
Rb (0.0000, 0.0000, 0.5000)  2 Tl 2.93, 4 Bi 3.26
N (0.0000, 0.5000, 0.0000)  2 Tl 2.30
Bi (0.5000, 0.5000, 0.5000)  4 Rb 3.26
N (0.5000, 0.0000, 0.0000)  2 Tl 2.30
Tl (0.0000, 0.0000, 0.0000)  4 N 2.30

Calculated values
Raw formation energy ... 1.844 eV per atom
V ... 124.4 Å³/cell

[2]
VASP calculation (GGA-PBEsol) on a relaxed ReBiN2 crystal.

Cell: 3.2849 3.2849 6.8632 Å, 76.15 76.15 60.00°
Last column: nearest neighbours and their distance in Å.
Fractional coordinates of all 4 atoms:
Re (0.0000, 0.0000, 0.0000)  2 N 1.87
N (0.0945, 0.0945, 0.7164)  1 Re 1.87
N (0.9055, 0.9055, 0.2836)  1 Re 1.87
Bi (0.5000, 0.5000, 0.5000)  6 N 2.37

Calculated values
Raw formation energy ... 0.897 eV per atom
V ... 61.6 Å³/cell

[3]
VASP calculation (GGA-PBEsol) on a relaxed Re2BiN crystal.

Cell: 4.8621 4.8621 7.0038 Å, 110.31 110.31 90.00°
Last column: nearest neighbours and their distance in Å.
Fractional coordinates of all 8 atoms:
Re (0.6250, 0.4710, 0.7500)  2 N 2.01
Re (0.5290, 0.8750, 0.2500)  2 N 2.01
Re (0.1250, 0.2790, 0.7500)  2 N 2.01
Re (0.7210, 0.3750, 0.2500)  2 N 2.01
N (0.5000, 0.5000, 0.0000)  4 Re 2.01
Bi (0.0000, 0.0000, 0.0000)  4 Re 2.77
N (0.7500, 0.2500, 0.5000)  4 Re 2.01
Bi (0.2500, 0.7500, 0.5000)  4 Re 2.77

Calculated values
Raw formation energy ... 0.802 eV per atom
V ... 144.2 Å³/cell

[4]
VASP calculation (GGA-PBEsol) on a relaxed Re2SnBiN crystal.

Cell: 5.0834 5.0834 5.9412 Å, 90.00 90.00 90.00°
Last column: nearest neighbours and their distance in Å.
Fractional coordinates of all 5 atoms:
Sn (0.0000, 0.0000, 0.5000)  2 Bi 2.97
N (0.5000, 0.5000, 0.5000)  4 Sn 3.59, 8 Re 3.91
Re (0.5000, 0.0000, 0.0000)  2 Bi 2.54
Bi (0.0000, 0.0000, 0.0000)  4 Re 2.54
Re (0.0000, 0.5000, 0.0000)  2 Bi 2.54

Calculated values
Raw formation energy ... 3.660 eV per atom
V ... 153.5 Å³/cell

Per-record spin magnetization, μB/f.u.: 0.90 0.00 0.00 6.75